# 1
Be2AgTeH | PBE | optimized geometry

The value obtained for the total energy is -13.16 eV for the cell shown.

abc: 4.262 4.262 3.941
angles: 90.00 90.00 90.00
Sites, in units of the cell vectors:
1 Be 0.000 0.500 0.000
2 Be 0.500 0.000 0.000
3 Ag 0.000 0.000 0.500
4 Te 0.500 0.500 0.500
5 H 0.000 0.000 0.000


# 2
Hf2BeAg | PBE | optimized geometry

The formation energy comes out at 9.2 kcal/mol of atoms. The value obtained for the total energy is -24.88 eV for the cell shown.

abc: 9.586 9.586 9.586
angles: 18.52 18.52 18.52
Sites, in units of the cell vectors:
1 Hf 0.102 0.102 0.102
2 Hf 0.898 0.898 0.898
3 Be 0.500 0.500 0.500
4 Ag 0.000 0.000 0.000


# 3
Hf3BeAg | PBE | optimized geometry

The formation energy comes out at 32.1 kcal/mol of atoms. The value obtained for the energy above the most stable polymorph in this dataset is 1005 meV per atom. The value obtained for the total energy is -29.48 eV for the cell shown.

abc: 5.043 5.043 5.043
angles: 90.00 90.00 90.00
Sites, in units of the cell vectors:
1 Hf 0.000 0.000 0.500
2 Hf 0.000 0.500 0.000
3 Hf 0.500 0.000 0.000
4 Be 0.500 0.500 0.500
5 Ag 0.000 0.000 0.000


# 4
Hf2Be2Ag | PBE | optimized geometry

The formation energy comes out at -3.4 kcal/mol of atoms. The value obtained for the energy above the most stable polymorph in this dataset is 0 meV per atom. The value obtained for the total energy is -61.90 eV for the cell shown.

abc: 6.385 6.385 3.813
angles: 90.00 90.00 90.00
Sites, in units of the cell vectors:
1 Hf 0.170 0.330 0.000
2 Hf 0.330 0.830 0.000
3 Hf 0.670 0.170 0.000
4 Hf 0.830 0.670 0.000
5 Be 0.122 0.622 0.500
6 Be 0.378 0.122 0.500
7 Be 0.622 0.878 0.500
8 Be 0.878 0.378 0.500
9 Ag 0.000 0.000 0.500
10 Ag 0.500 0.500 0.500


# 5
Hf2Be2Ag | PBE | optimized geometry

The formation energy comes out at -2.8 kcal/mol of atoms. The value obtained for the energy above the most stable polymorph in this dataset is 25 meV per atom. The value obtained for the total energy is -30.82 eV for the cell shown.

abc: 6.569 6.569 3.334
angles: 90.00 90.00 147.03
Sites, in units of the cell vectors:
1 Hf 0.137 0.863 0.000
2 Hf 0.863 0.137 0.000
3 Be 0.296 0.704 0.500
4 Be 0.704 0.296 0.500
5 Ag 0.500 0.500 0.500


# 6
Hf2BeAg | PBE | optimized geometry

The formation energy comes out at 16.8 kcal/mol of atoms. The value obtained for the total energy is -47.15 eV for the cell shown.

abc: 10.188 10.188 10.188
angles: 157.23 157.23 32.42
Sites, in units of the cell vectors:
1 Hf 0.115 0.625 0.990
2 Hf 0.375 0.365 0.490
3 Hf 0.635 0.125 0.010
4 Hf 0.875 0.885 0.510
5 Be 0.000 0.000 0.000
6 Be 0.750 0.250 0.500
7 Ag 0.250 0.750 0.500
8 Ag 0.500 0.500 0.000


# 7
HfBe17Ag | PBE | optimized geometry

The formation energy comes out at -2.0 kcal/mol of atoms. The value obtained for the total energy is -77.76 eV for the cell shown.

abc: 5.634 5.634 5.634
angles: 82.81 82.81 82.81
Sites, in units of the cell vectors:
1 Hf 0.000 0.000 0.000
2 Be 0.045 0.343 0.632
3 Be 0.045 0.632 0.343
4 Be 0.191 0.684 0.684
5 Be 0.243 0.243 0.243
6 Be 0.327 0.327 0.849
7 Be 0.327 0.849 0.327
8 Be 0.343 0.045 0.632
9 Be 0.343 0.632 0.045
10 Be 0.439 0.439 0.439
11 Be 0.503 0.999 0.999
12 Be 0.632 0.045 0.343
13 Be 0.632 0.343 0.045
14 Be 0.684 0.191 0.684
15 Be 0.684 0.684 0.191
16 Be 0.849 0.327 0.327
17 Be 0.999 0.503 0.999
18 Be 0.999 0.999 0.503
19 Ag 0.692 0.692 0.692


# 8
Hf3BeAg | PBE | optimized geometry

The formation energy comes out at 8.9 kcal/mol of atoms. The value obtained for the energy above the most stable polymorph in this dataset is 0 meV per atom. The value obtained for the total energy is -34.50 eV for the cell shown.

abc: 4.652 4.652 4.652
angles: 90.00 90.00 90.00
Sites, in units of the cell vectors:
1 Hf 0.000 0.000 0.500
2 Hf 0.000 0.500 0.000
3 Hf 0.500 0.000 0.000
4 Be 0.000 0.000 0.000
5 Ag 0.500 0.500 0.500


# 9
Hf2BeAgI | PBE | optimized geometry

Its energy relative to the elements, uncorrected is 137.5 kJ per mole of atoms. The value obtained for the total energy is -20.91 eV for the cell shown.

abc: 5.238 5.238 4.455
angles: 90.00 90.00 90.00
Sites, in units of the cell vectors:
1 Hf 0.000 0.500 0.000
2 Hf 0.500 0.000 0.000
3 Be 0.000 0.000 0.500
4 Ag 0.500 0.500 0.500
5 I 0.000 0.000 0.000


# 10
Li2HfBeAg | PBE | optimized geometry

The formation energy comes out at 10.9 kcal/mol of atoms. The value obtained for the total energy is -17.99 eV for the cell shown.

abc: 4.269 4.269 4.392
angles: 90.00 90.00 90.00
Sites, in units of the cell vectors:
1 Li 0.000 0.500 0.000
2 Li 0.500 0.000 0.000
3 Hf 0.000 0.000 0.500
4 Be 0.500 0.500 0.000
5 Ag 0.500 0.500 0.500


# 11
Hf2BeTlAg | PBE | optimized geometry

The formation energy comes out at 6.8 kcal/mol of atoms. The value obtained for the total energy is -27.38 eV for the cell shown.

abc: 4.727 4.727 4.438
angles: 90.00 90.00 90.00
Sites, in units of the cell vectors:
1 Hf 0.000 0.500 0.000
2 Hf 0.500 0.000 0.000
3 Be 0.000 0.000 0.000
4 Tl 0.500 0.500 0.500
5 Ag 0.000 0.000 0.500


# 12
Hf2BeVAg | PBE | optimized geometry

The formation energy comes out at 37.3 kcal/mol of atoms. The value obtained for the total energy is -27.51 eV for the cell shown.

abc: 5.043 5.043 4.652
angles: 90.00 90.00 90.00
Sites, in units of the cell vectors:
1 Hf 0.000 0.500 0.000
2 Hf 0.500 0.000 0.000
3 Be 0.000 0.000 0.500
4 V 0.500 0.500 0.500
5 Ag 0.500 0.500 0.000


# 13
HfBeV2Ag | PBE | optimized geometry

The formation energy comes out at 37.9 kcal/mol of atoms. The value obtained for the total energy is -26.54 eV for the cell shown.

abc: 4.574 4.574 4.683
angles: 90.00 90.00 90.00
Sites, in units of the cell vectors:
1 Hf 0.000 0.000 0.000
2 Be 0.000 0.000 0.500
3 V 0.000 0.500 0.000
4 V 0.500 0.000 0.000
5 Ag 0.500 0.500 0.500


# 14
HfZr2BeAg | PBE | optimized geometry

The formation energy comes out at 9.2 kcal/mol of atoms. The value obtained for the total energy is -31.63 eV for the cell shown.

abc: 4.795 4.795 4.337
angles: 90.00 90.00 90.00
Sites, in units of the cell vectors:
1 Hf 0.000 0.000 0.000
2 Zr 0.000 0.500 0.500
3 Zr 0.500 0.000 0.500
4 Be 0.500 0.500 0.500
5 Ag 0.500 0.500 0.000


# 15
BeAgHg2 | PBE | optimized geometry

The formation energy comes out at 9.3 kcal/mol of atoms. The value obtained for the total energy is -5.57 eV for the cell shown.

abc: 4.469 4.469 3.676
angles: 90.00 90.00 90.00
Sites, in units of the cell vectors:
1 Be 0.000 0.000 0.000
2 Ag 0.500 0.500 0.000
3 Hg 0.000 0.500 0.500
4 Hg 0.500 0.000 0.500


# 16
BeAg2Hg2 | PBE | optimized geometry

The formation energy comes out at 8.2 kcal/mol of atoms. The value obtained for the energy above the most stable polymorph in this dataset is 34 meV per atom. The value obtained for the total energy is -16.49 eV for the cell shown.

abc: 6.581 6.581 4.509
angles: 90.00 90.00 90.00
Sites, in units of the cell vectors:
1 Be 0.000 0.000 0.000
2 Be 0.500 0.500 0.000
3 Ag 0.154 0.346 0.500
4 Ag 0.346 0.846 0.500
5 Ag 0.654 0.154 0.500
6 Ag 0.846 0.654 0.500
7 Hg 0.163 0.663 0.000
8 Hg 0.337 0.163 0.000
9 Hg 0.663 0.837 0.000
10 Hg 0.837 0.337 0.000


# 17
BeAgHg2 | PBE | optimized geometry

The formation energy comes out at 9.9 kcal/mol of atoms. The value obtained for the total energy is -5.46 eV for the cell shown.

abc: 4.612 3.401 5.096
angles: 90.00 108.07 90.00
Sites, in units of the cell vectors:
1 Be 0.000 0.000 0.000
2 Ag 0.000 0.500 0.500
3 Hg 0.500 0.000 0.500
4 Hg 0.500 0.500 0.000


# 18
BeAgHg2 | PBE | optimized geometry

The formation energy comes out at 7.5 kcal/mol of atoms. The value obtained for the total energy is -5.89 eV for the cell shown.

abc: 8.656 8.656 8.656
angles: 21.17 21.17 21.17
Sites, in units of the cell vectors:
1 Be 0.000 0.000 0.000
2 Ag 0.500 0.500 0.500
3 Hg 0.262 0.262 0.262
4 Hg 0.738 0.738 0.738


# 19
Be2Ag2Hg | PBE | optimized geometry

The formation energy comes out at 5.4 kcal/mol of atoms. The value obtained for the energy above the most stable polymorph in this dataset is 35 meV per atom. The value obtained for the total energy is -12.28 eV for the cell shown.

abc: 8.400 8.400 8.400
angles: 158.79 158.79 30.17
Sites, in units of the cell vectors:
1 Be 0.250 0.750 0.500
2 Be 0.750 0.250 0.500
3 Ag 0.132 0.132 0.000
4 Ag 0.868 0.868 0.000
5 Hg 0.500 0.500 0.000


# 20
Be2Ag2Hg | PBE | optimized geometry

The formation energy comes out at 4.6 kcal/mol of atoms. The value obtained for the energy above the most stable polymorph in this dataset is 0 meV per atom. The value obtained for the total energy is -24.90 eV for the cell shown.

abc: 6.813 6.813 3.157
angles: 90.00 90.00 90.00
Sites, in units of the cell vectors:
1 Be 0.131 0.369 0.000
2 Be 0.369 0.869 0.000
3 Be 0.631 0.131 0.000
4 Be 0.869 0.631 0.000
5 Ag 0.153 0.653 0.500
6 Ag 0.347 0.153 0.500
7 Ag 0.653 0.847 0.500
8 Ag 0.847 0.347 0.500
9 Hg 0.000 0.000 0.000
10 Hg 0.500 0.500 0.000


# 21
BeAgHg2 | PBE | optimized geometry

The formation energy comes out at 7.3 kcal/mol of atoms. The value obtained for the total energy is -5.91 eV for the cell shown.

abc: 3.109 3.029 7.647
angles: 90.00 93.08 90.00
Sites, in units of the cell vectors:
1 Be 0.000 0.000 0.000
2 Ag 0.000 0.000 0.500
3 Hg 0.473 0.500 0.216
4 Hg 0.527 0.500 0.784


# 22
BeAgHg2 | PBE | optimized geometry

The formation energy comes out at 6.3 kcal/mol of atoms. The value obtained for the total energy is -6.09 eV for the cell shown.

abc: 2.880 3.087 8.460
angles: 90.00 90.00 90.00
Sites, in units of the cell vectors:
1 Be 0.000 0.000 0.000
2 Ag 0.500 0.500 0.169
3 Hg 0.000 0.000 0.463
4 Hg 0.500 0.500 0.797


# 23
BeAg2Hg2 | PBE | optimized geometry

The formation energy comes out at 7.5 kcal/mol of atoms. The value obtained for the energy above the most stable polymorph in this dataset is 0 meV per atom. The value obtained for the total energy is -16.83 eV for the cell shown.

abc: 6.426 6.426 4.620
angles: 90.00 90.00 90.00
Sites, in units of the cell vectors:
1 Be 0.000 0.000 0.000
2 Be 0.500 0.500 0.000
3 Ag 0.158 0.342 0.000
4 Ag 0.342 0.842 0.000
5 Ag 0.658 0.158 0.000
6 Ag 0.842 0.658 0.000
7 Hg 0.166 0.666 0.500
8 Hg 0.334 0.166 0.500
9 Hg 0.666 0.834 0.500
10 Hg 0.834 0.334 0.500


# 24
BeAg4Hg | PBE | optimized geometry

The formation energy comes out at 10.5 kcal/mol of atoms. The value obtained for the total energy is -12.71 eV for the cell shown.

abc: 5.484 5.484 5.484
angles: 60.00 60.00 60.00
Sites, in units of the cell vectors:
1 Be 0.000 0.000 0.000
2 Ag 0.375 0.375 0.375
3 Ag 0.375 0.375 0.876
4 Ag 0.375 0.876 0.375
5 Ag 0.876 0.375 0.375
6 Hg 0.750 0.750 0.750


# 25
BeAgHg2 | PBE | optimized geometry

The formation energy comes out at 5.1 kcal/mol of atoms. The value obtained for the total energy is -6.29 eV for the cell shown.

abc: 3.666 3.000 7.270
angles: 90.00 90.07 90.00
Sites, in units of the cell vectors:
1 Be 0.000 0.000 0.000
2 Ag 0.500 0.500 0.098
3 Hg 0.000 0.500 0.725
4 Hg 0.001 0.000 0.371


# 26
BeAgHg4 | PBE | optimized geometry

The formation energy comes out at 15.2 kcal/mol of atoms. The value obtained for the total energy is -3.84 eV for the cell shown.

abc: 5.846 5.846 5.846
angles: 60.00 60.00 60.00
Sites, in units of the cell vectors:
1 Be 0.000 0.000 0.000
2 Ag 0.250 0.250 0.250
3 Hg 0.125 0.625 0.625
4 Hg 0.625 0.125 0.625
5 Hg 0.625 0.625 0.125
6 Hg 0.625 0.625 0.625


# 27
BeAgHg2 | PBE | optimized geometry

The formation energy comes out at 9.4 kcal/mol of atoms. The value obtained for the total energy is -5.55 eV for the cell shown.

abc: 5.035 5.035 5.035
angles: 129.87 129.87 73.61
Sites, in units of the cell vectors:
1 Be 0.000 0.000 0.000
2 Ag 0.500 0.500 0.000
3 Hg 0.250 0.750 0.500
4 Hg 0.750 0.250 0.500